8
Lattice="5.601 0.000 0.000 0.000 7.428 0.000 0.000 0.000 7.930" Properties=species:S:1:pos:R:3 comment="RbNa2Pb | Alexandria via LeMat-Bulk | GGA-PBE | relaxed" delta_e_f_ev_per_atom=-0.080 space_group=Pmmn total_energy_ev_per_cell=-15.3 pbc="T T T"
Rb 1.400 1.857 0.690
Rb 4.201 5.571 7.241
Na 1.400 0.169 4.878
Na 1.400 3.545 4.878
Na 4.201 3.883 3.053
Na 4.201 7.259 3.053
Pb 1.400 5.571 2.254
Pb 4.201 1.857 5.676